First-principles (PBE) data for an optimized crystal structure of GaCu2Pd8, as listed in Alexandria.

Its polymorph energy (0 for the lowest one) is 0.000 eV per atom. Its volume is 14.77 Å³ per atom. The value obtained for the electronic total energy is -5.011 eV/atom.

It has space group C2/m (No. 12), with a = 13.872 Å, b = 3.965 Å, c = 6.150 Å, α = 90.00°, β = 106.12° and γ = 90.00°. The inequivalent atoms are Ga at (0.000, 0.000, 0.000), Cu at (0.226, 0.500, 0.637), Pd at (0.045, 0.500, 0.732), Pd at (0.095, 0.000, 0.454), Pd at (0.141, 0.500, 0.193) and Pd at (0.180, 0.000, 0.915).